The following is a GGA-PBE calculation of an optimized crystal structure of CoCu, from Alexandria.

```
data_CoCu
_chemical_formula_sum 'Co2 Cu2'
_cell_length_a 2.517
_cell_length_b 2.517
_cell_length_c 8.331
_cell_angle_alpha 90.00
_cell_angle_beta 90.00
_cell_angle_gamma 120.00
_space_group_name_H-M_alt 'P 1'
_space_group_IT_number 1
loop_
_space_group_symop_operation_xyz
'x,y,z'
loop_
_atom_site_label
_atom_site_fract_x
_atom_site_fract_y
_atom_site_fract_z
Co1 0.000 0.000 0.009
Co2 0.333 0.667 0.241
Cu1 0.333 0.667 0.754
Cu2 0.000 0.000 0.496
```

crystal system	trigonal
SG	P-3m1
density	8.90	g/cm3
uncorrected energy	-5.54	eV per atom